(1)
Entry from the Alexandria database: a crystal of ThPSe relaxed with PBEsol (SCAN).

Output
raw formation energy: -1529 meV per atom
V: 22.5 A^3/atom

Cell: 4.0219 4.0219 8.3357 Å, 90.00 90.00 90.00°
Last column: nearest neighbours and their distance in Å.
Space group P4/nmm (No. 129, origin choice 2)
One atom of each set of equivalent atoms:
Th  0.2500  0.2500  0.2458  4 P 2.92, 5 Se 3.00-3.14
P  0.2500  0.7500  0.5000  4 P 2.84, 4 Th 2.92
Se  0.2500  0.2500  0.8688  5 Th 3.00-3.14

(2)
Entry from the Alexandria database: a crystal of Ti3PSe relaxed with PBEsol (SCAN).

Output
raw formation energy: -230 meV per atom
V: 18.4 A^3/atom

Cell: 4.5153 4.5153 4.5153 Å, 90.00 90.00 90.00°
Last column: nearest neighbours and their distance in Å.
Space group Pm-3m (No. 221)
One atom of each set of equivalent atoms:
Ti  0.0000  0.0000  0.5000  2 P 2.26
P  0.0000  0.0000  0.0000  6 Ti 2.26
Se  0.5000  0.5000  0.5000  12 Ti 3.19

(3)
Entry from the Alexandria database: a crystal of TlPSe2 relaxed with PBEsol (SCAN).

Output
raw formation energy: 75 meV per atom
V: 23.2 A^3/atom

Cell: 3.3517 5.8795 9.4247 Å, 90.00 90.00 90.00°
Last column: nearest neighbours and their distance in Å.
Space group Immm (No. 71)
One atom of each set of equivalent atoms:
Tl  0.0000  0.0000  0.0000  2 Tl 3.35, 4 P 3.38, 8 Se 3.41-3.43
P  0.0000  0.0000  0.5000  4 Se 2.40
Se  0.0000  0.5000  0.1824  2 P 2.40

(4)
Entry from the Alexandria database: a crystal of TlPSe2 relaxed with PBEsol (SCAN).

Output
raw formation energy: -168 meV per atom
V: 24.9 A^3/atom

Cell: 8.4637 4.1442 11.7944 Å, 90.00 105.68 90.00°
Last column: nearest neighbours and their distance in Å.
Space group P2_1 (No. 4)
One atom of each set of equivalent atoms:
Tl  0.0504  0.0000  0.3486  5 Se 3.01-3.30, 1 P 3.30
Tl  0.3512  0.4477  0.8485  5 Se 3.04-3.34, 1 P 3.26
P  0.1485  0.0878  0.0980  3 Se 2.26-2.38
P  0.4271  0.6283  0.5989  3 Se 2.29-2.38
Se  0.0681  0.9490  0.8983  2 P 2.34-2.38
Se  0.2127  0.9567  0.6084  1 P 2.29
Se  0.3617  0.5089  0.3987  2 P 2.33-2.38
Se  0.3654  0.4196  0.1171  1 P 2.26